No. 1
# KCuBi2W

KCuBi2W after structural relaxation (PBE-GGA, the Alexandria database).

Structure (POSCAR):
```
KCuBi2W
1.0
-5.0596 -0.7702 -1.6496
1.0533 -4.8216 -0.9795
-1.4308 -1.3302 5.0097
Cu K Bi W
1 1 2 1
direct
0.0000 0.0000 0.0000
0.5000 0.5000 0.5000
0.5000 0.0000 0.0000
0.0000 0.0000 0.5000
0.0000 0.5000 0.0000
```

* energy relative to the elements: 1000 meV/atom
* calculated density: 8.0 g/cm3

No. 2
# KCu2BiW

KCu2BiW after structural relaxation (PBE-GGA, the Alexandria database).

Structure (POSCAR):
```
KCu2BiW
1.0
5.2522 0.0000 0.0000
0.0000 5.4780 0.0000
0.0000 0.0000 5.2522
W Bi K Cu
1 1 1 2
direct
0.0000 0.5000 0.0000
0.0000 0.0000 0.0000
0.5000 0.5000 0.5000
0.0000 0.0000 0.5000
0.5000 0.0000 0.0000
```

* energy relative to the elements: 1392 meV/atom
* calculated density: 6.1 g/cm3